This record from Alexandria describes CuSbIr2 at its PBEsol-relaxed geometry. The functional is SCAN.

Cell lengths 3.208, 3.208, 5.808 Å; angles 90.00, 90.00, 90.00 degrees
Fractional positions:
Sb: 0.500 0.500 0.000
Ir: 0.000 0.000 0.735
Ir: 0.000 0.000 0.265
Cu: 0.500 0.500 0.500

Computed properties:
DFT total energy, eV per atom: -48.42
E_form (uncorrected), eV/atom: 0.243

=====

This record from Alexandria describes RbTe3Mo at its PBEsol-relaxed geometry. The functional is SCAN.

Cell lengths 5.931, 5.931, 5.931 Å; angles 90.00, 90.00, 90.00 degrees
Fractional positions:
Te: 0.500 0.000 0.000
Te: 0.000 0.500 0.000
Te: 0.000 0.000 0.500
Mo: 0.500 0.500 0.500
Rb: 0.000 0.000 0.000

Computed properties:
DFT total energy, eV per atom: -31.82
E_form (uncorrected), eV/atom: 1.654

=====

This record from Alexandria describes Li2ReSi at its PBEsol-relaxed geometry. The functional is SCAN.

Cell lengths 2.688, 2.688, 8.740 Å; angles 90.00, 90.00, 108.57 degrees
Fractional positions:
Si: 0.500 0.500 0.264
Li: 0.000 0.000 0.030
Li: 0.500 0.500 0.727
Re: 0.000 0.000 0.479

Computed properties:
DFT total energy, eV per atom: -21.39
E_form (uncorrected), eV/atom: 0.084

=====

This record from Alexandria describes TiCuPCl2 at its PBEsol-relaxed geometry. The functional is SCAN.

Cell lengths 4.542, 4.542, 4.972 Å; angles 90.00, 90.00, 90.00 degrees
Fractional positions:
Ti: 0.000 0.000 0.000
Cl: 0.500 0.000 0.000
Cl: 0.000 0.500 0.000
P: 0.000 0.000 0.500
Cu: 0.500 0.500 0.500

Computed properties:
DFT total energy, eV per atom: -11.76
E_form (uncorrected), eV/atom: -0.244

=====

This record from Alexandria describes Co2TcIF at its PBEsol-relaxed geometry. The functional is SCAN.

Cell lengths 4.278, 4.541, 4.541 Å; angles 90.00, 90.00, 90.00 degrees
Fractional positions:
F: 0.500 0.000 0.000
Co: 0.000 0.000 0.500
Co: 0.000 0.500 0.000
I: 0.000 0.000 0.000
Tc: 0.500 0.500 0.500

Computed properties:
DFT total energy, eV per atom: -20.74
E_form (uncorrected), eV/atom: 1.253

=====

This record from Alexandria describes PRhSeN2 at its PBEsol-relaxed geometry. The functional is SCAN.

Cell lengths 3.328, 3.328, 6.932 Å; angles 90.00, 90.00, 90.00 degrees
Fractional positions:
N: 0.000 0.500 0.000
N: 0.500 0.000 0.000
P: 0.000 0.000 0.000
Rh: 0.500 0.500 0.500
Se: 0.000 0.000 0.500

Computed properties:
DFT total energy, eV per atom: -15.77
E_form (uncorrected), eV/atom: 0.799

=====

This record from Alexandria describes NiOsRh at its PBEsol-relaxed geometry. The functional is SCAN.

Cell lengths 2.655, 3.676, 4.499 Å; angles 114.11, 107.16, 90.00 degrees
Fractional positions:
Rh: 0.333 0.333 0.666
Os: 0.664 0.664 0.327
Ni: 0.003 0.003 0.007

Computed properties:
Relative energy among the computed polymorphs, meV/atom: 0
DFT total energy, eV per atom: -40.55
Formation energy from the elements, eV/atom: 0.061

=====

This record from Alexandria describes Ba2ReGeIr at its PBEsol-relaxed geometry. The functional is SCAN.

Cell lengths 4.503, 6.090, 6.090 Å; angles 90.00, 90.00, 90.00 degrees
Fractional positions:
Ir: 0.500 0.000 0.000
Ge: 0.000 0.000 0.000
Ba: 0.000 0.000 0.500
Ba: 0.000 0.500 0.000
Re: 0.500 0.500 0.500

Computed properties:
DFT total energy, eV per atom: -47.05
Formation energy from the elements, eV/atom: 1.031

=====

This record from Alexandria describes SrLiCl3 at its PBEsol-relaxed geometry. The functional is SCAN.

Cell lengths 4.712, 4.712, 4.712 Å; angles 90.00, 90.00, 90.00 degrees
Fractional positions:
Cl: 0.000 0.000 0.500
Cl: 0.500 0.000 0.000
Cl: 0.000 0.500 0.000
Li: 0.000 0.000 0.000
Sr: 0.500 0.500 0.500

Computed properties:
DFT total energy, eV per atom: -12.04
E_form (uncorrected), eV/atom: -2.317

=====

This record from Alexandria describes KAuBr2 at its PBEsol-relaxed geometry. The functional is SCAN.

Cell lengths 5.240, 5.240, 5.240 Å; angles 60.00, 60.00, 60.00 degrees
Fractional positions:
Au: 0.500 0.500 0.500
K: 0.250 0.250 0.250
Br: 0.750 0.750 0.750
Br: 0.000 0.000 0.000

Computed properties:
Relative energy among the computed polymorphs, meV/atom: 684
DFT total energy, eV per atom: -29.38
E_form (uncorrected), eV/atom: -0.280

=====

This record from Alexandria describes Be2CuW at its PBEsol-relaxed geometry. The functional is SCAN.

Cell lengths 3.446, 3.446, 4.459 Å; angles 112.73, 112.73, 90.00 degrees
Fractional positions:
Cu: 0.500 0.500 0.000
Be: 0.000 0.000 0.000
Be: 0.750 0.250 0.500
W: 0.250 0.750 0.500

Computed properties:
Relative energy among the computed polymorphs, meV/atom: 400
DFT total energy, eV per atom: -23.07
Formation energy from the elements, eV/atom: 0.333

=====

This record from Alexandria describes Ba2AlPt2 at its PBEsol-relaxed geometry. The functional is SCAN.

Cell lengths 3.774, 3.774, 10.331 Å; angles 100.52, 100.52, 90.00 degrees
Fractional positions:
Pt: 0.250 0.750 0.500
Pt: 0.750 0.250 0.500
Al: 0.000 0.000 0.000
Ba: 0.379 0.379 0.758
Ba: 0.621 0.621 0.242

Computed properties:
DFT total energy, eV per atom: -45.72
Formation energy from the elements, eV/atom: -0.273